Record 1
Here is an optimized crystal structure of CaNdGdTh from the Alexandria database. Energies are from PBE-GGA.

CIF file:
```
data_CaNdGdTh
_chemical_formula_sum 'Ca4 Nd4 Gd4 Th4'
_cell_length_a 8.2154
_cell_length_b 8.2154
_cell_length_c 8.2154
_cell_angle_alpha 90.00
_cell_angle_beta 90.00
_cell_angle_gamma 90.00
_symmetry_space_group_name_H-M 'F -4 3 m'
_symmetry_Int_Tables_number 216
_symmetry_space_group_name_Hall 'F -4 2 3'
loop_
_atom_site_label
_atom_site_fract_x
_atom_site_fract_y
_atom_site_fract_z
_atom_site_occupancy
Ca1 0.0000 0.0000 0.0000 1
Nd1 0.2500 0.2500 0.2500 1
Gd1 0.2500 0.2500 0.7500 1
Th1 0.0000 0.0000 0.5000 1
```

***

Record 2
Here is an optimized crystal structure of Li2Ac3Nd2Au4 from the Alexandria database. Energies are from PBE-GGA.

CIF file:
```
data_Li2Ac3Nd2Au4
_chemical_formula_sum 'Li2 Ac3 Nd2 Au4'
_cell_length_a 4.8697
_cell_length_b 4.8697
_cell_length_c 15.4833
_cell_angle_alpha 90.00
_cell_angle_beta 90.00
_cell_angle_gamma 120.00
_symmetry_space_group_name_H-M 'P -3 m 1'
_symmetry_Int_Tables_number 164
_symmetry_space_group_name_Hall '-P 3 2"'
loop_
_atom_site_label
_atom_site_fract_x
_atom_site_fract_y
_atom_site_fract_z
_atom_site_occupancy
Li1 0.3333 0.6667 0.1308 1
Ac1 0.0000 0.0000 0.0000 1
Ac2 0.0000 0.0000 0.2498 1
Nd1 0.3333 0.6667 0.5752 1
Au1 0.3333 0.6667 0.3619 1
Au2 0.3333 0.6667 0.8767 1
```

***

The calculation returns the following energy relative to the elements values, one per record and in order: 0.209, -0.524 eV/atom.